Entry 1:
AcDyGa2Au4 | PBE | optimized geometry

Computed properties:
magnetization: 0.00 μB/cell
uncorrected energy: -33.0 eV for the cell shown
space group: R-3m (166)

Cell lengths 4.6794, 4.6794, 9.8846 Å; angles 76.31, 76.31, 60.00 degrees
Positions (direct):
Au1 0.3949 0.3949 0.8153
Dy1 0.5000 0.5000 0.5000
Ac1 0.0000 0.0000 0.0000
Ga1 0.2349 0.2349 0.2953
Au2 0.8808 0.8808 0.3577
Au3 0.6051 0.6051 0.1847
Au4 0.1192 0.1192 0.6423
Ga2 0.7651 0.7651 0.7047

Entry 2:
AcDyGe2Au2 | PBE | optimized geometry

Computed properties:
magnetization: 0.00 μB/cell
uncorrected energy: -29.5 eV for the cell shown
space group: P-3m1 (164)

Cell lengths 4.5168, 4.5168, 8.0407 Å; angles 90.00, 90.00, 120.00 degrees
Positions (direct):
Ge1 0.3333 0.6667 0.7398
Au1 0.6667 0.3333 0.7088
Ac1 0.0000 0.0000 0.0000
Au2 0.3333 0.6667 0.2912
Dy1 0.0000 0.0000 0.5000
Ge2 0.6667 0.3333 0.2602

Entry 3:
AcDyHgAu | PBE | optimized geometry

Computed properties:
magnetization: 0.00 μB/cell
uncorrected energy: -14.6 eV for the cell shown
space group: F-43m (216)

Cell lengths 5.4208, 5.4208, 5.4208 Å; angles 60.00, 60.00, 60.00 degrees
Positions (direct):
Hg1 0.5000 0.5000 0.5000
Dy1 0.7500 0.7500 0.7500
Au1 0.0000 0.0000 0.0000
Ac1 0.2500 0.2500 0.2500

Look up the uncorrected energy of the third one.
-14.6 eV for the cell shown